[1]
Hf2Ga3: relaxed, PBE.

Summary:
ΔE_f: -319 meV/atom
N(E_F): 6.1 states/eV per cell

Lattice parameters (Å, degrees): 9.957 3.709 6.630 90.00 131.62 90.00
Fractional coordinates of all 10 atoms:
Hf  0.091  0.000  0.389
Hf  0.409  0.500  0.611
Hf  0.591  0.500  0.389
Hf  0.909  0.000  0.611
Ga  0.000  0.500  0.000
Ga  0.214  0.500  0.819
Ga  0.286  0.000  0.181
Ga  0.500  0.000  0.000
Ga  0.714  0.000  0.819
Ga  0.786  0.500  0.181

[2]
Pm2PrNdHo2: relaxed, PBE.

Summary:
ΔE_f: 262 meV/atom
N(E_F): 20.8 states/eV per cell

Lattice parameters (Å, degrees): 6.615 18.260 3.433 90.00 90.00 90.00
Fractional coordinates of all 12 atoms:
Pm  0.219  0.188  0.000
Pm  0.281  0.688  0.500
Pm  0.719  0.312  0.500
Pm  0.781  0.812  0.000
Pr  0.000  0.000  0.000
Pr  0.500  0.500  0.500
Nd  0.000  0.500  0.000
Nd  0.500  0.000  0.500
Ho  0.218  0.352  0.500
Ho  0.282  0.852  0.000
Ho  0.718  0.148  0.000
Ho  0.782  0.648  0.500

[3]
LaTb2Nd6Sm: relaxed, PBE.

Summary:
ΔE_f: 113 meV/atom
N(E_F): 29.8 states/eV per cell

Lattice parameters (Å, degrees): 9.006 9.006 9.870 94.24 94.24 117.71
Fractional coordinates of all 20 atoms:
La  0.095  0.905  0.750
La  0.905  0.095  0.250
Tb  0.208  0.306  0.955
Tb  0.306  0.208  0.455
Tb  0.694  0.792  0.545
Tb  0.792  0.694  0.045
Nd  0.009  0.796  0.379
Nd  0.068  0.521  0.182
Nd  0.204  0.991  0.121
Nd  0.256  0.612  0.556
Nd  0.388  0.744  0.944
Nd  0.479  0.932  0.318
Nd  0.521  0.068  0.682
Nd  0.612  0.256  0.056
Nd  0.744  0.388  0.444
Nd  0.796  0.009  0.879
Nd  0.932  0.479  0.818
Nd  0.991  0.204  0.621
Sm  0.471  0.529  0.250
Sm  0.529  0.471  0.750

[4]
Rb2TlRh3O8: relaxed, PBE.

Summary:
VASP energy: -5.63 eV per atom
N(E_F): 9.3 states/eV per cell

Lattice parameters (Å, degrees): 7.634 7.634 7.634 49.80 49.80 49.80
Fractional coordinates of all 14 atoms:
Rb  0.000  0.000  0.000
Rb  0.346  0.346  0.346
Tl  0.826  0.826  0.826
Rh  0.350  0.350  0.851
Rh  0.350  0.851  0.350
Rh  0.851  0.350  0.350
O  0.077  0.077  0.541
O  0.077  0.541  0.077
O  0.136  0.136  0.136
O  0.174  0.606  0.606
O  0.541  0.077  0.077
O  0.563  0.563  0.563
O  0.606  0.174  0.606
O  0.606  0.606  0.174